# ScTiHg2As, relaxed, DFT GGA-PBE
data_ScTiHg2As
_chemical_formula_sum 'Sc1 Ti1 Hg2 As1'
_space_group_name_H-M_alt 'P 4/m m m'
_space_group_IT_number 123
_space_group_name_Hall '-P 4 2'
_cell_length_a 5.187
_cell_length_b 5.187
_cell_length_c 5.077
_cell_angle_alpha 90.00
_cell_angle_beta 90.00
_cell_angle_gamma 90.00
loop_
_atom_site_label
_atom_site_type_symbol
_atom_site_fract_x
_atom_site_fract_y
_atom_site_fract_z
Sc1 Sc 0.000 0.000 0.000
Ti1 Ti 0.000 0.000 0.500
Hg1 Hg 0.000 0.500 0.500
As1 As 0.500 0.500 0.000
# - DFT formation energy (eV per atom) = 0.75



# HgAs3Se, relaxed, DFT GGA-PBE
data_HgAs3Se
_chemical_formula_sum 'Hg1 As3 Se1'
_space_group_name_H-M_alt 'P m -3 m'
_space_group_IT_number 221
_space_group_name_Hall '-P 4 2 3'
_cell_length_a 5.178
_cell_length_b 5.178
_cell_length_c 5.178
_cell_angle_alpha 90.00
_cell_angle_beta 90.00
_cell_angle_gamma 90.00
loop_
_atom_site_label
_atom_site_type_symbol
_atom_site_fract_x
_atom_site_fract_y
_atom_site_fract_z
Hg1 Hg 0.000 0.000 0.000
As1 As 0.000 0.000 0.500
Se1 Se 0.500 0.500 0.500
# - formation energy (no corrections) (meV per atom) = 1190



# HgAs2Se, relaxed, DFT GGA-PBE
data_HgAs2Se
_chemical_formula_sum 'Hg4 As8 Se4'
_space_group_name_H-M_alt 'F m m 2'
_space_group_IT_number 42
_space_group_name_Hall 'F 2 -2'
_cell_length_a 5.912
_cell_length_b 7.782
_cell_length_c 8.469
_cell_angle_alpha 90.00
_cell_angle_beta 90.00
_cell_angle_gamma 90.00
loop_
_atom_site_label
_atom_site_type_symbol
_atom_site_fract_x
_atom_site_fract_y
_atom_site_fract_z
Hg1 Hg 0.000 0.000 0.000
As1 As 0.000 0.240 0.742
Se1 Se 0.000 0.000 0.558
# - formation energy (no corrections) (meV per atom) = 101



| no. | M_tot (μB per formula unit) | theoretical density (Mg/m³) |
| --- | --- | --- |
| 1 | 1.67 | 6.915 |
| 2 | 0.00 | 6.031 |
| 3 | 0.00 | 7.319 |